Density functional theory data (PBE) for crystalline PuSiH6 at its relaxed geometry.

Structure (POSCAR):
```
PuSiH6
1.0
4.102 -0.519 -0.098
-0.210 4.129 -0.098
0.932 0.864 3.938
Pu Si H
1 1 6
Cartesian
2.412 2.237 1.871
0.000 0.000 0.000
0.396 3.156 1.054
3.177 0.158 1.054
1.646 4.316 2.688
4.428 1.318 2.688
1.181 1.096 0.209
3.642 3.378 3.533
```

final energy	-5.077	eV/atom



Density functional theory data (PBE) for crystalline MgTl at its relaxed geometry.

Structure (POSCAR):
```
MgTl
1.0
3.379 0.027 0.000
-1.323 3.110 0.000
0.000 0.000 4.934
Tl Mg
1 1
Cartesian
1.028 1.568 2.467
0.000 0.000 0.000
```

formation energy from the elements	0.0	eV/f.u.



Density functional theory data (PBE) for crystalline HoNiPt at its relaxed geometry.

Structure (POSCAR):
```
HoNiPt
1.0
-1.487 1.024 -6.901
1.591 -6.633 2.088
-5.088 1.896 3.357
Ho Ni Pt
4 4 4
Cartesian
-1.605 -1.374 -2.691
-3.405 -0.937 2.438
-4.149 -0.426 -1.012
-0.809 -4.690 -1.647
-1.186 -5.107 3.087
-0.950 -0.312 -5.333
-2.260 -2.435 -0.049
1.054 -5.297 0.520
-0.399 -3.532 1.269
-1.323 -0.239 0.250
-3.661 -3.475 -1.706
-3.046 -4.010 1.769
```

formation energy from the elements	-1.1	eV/f.u.



Density functional theory data (PBE) for crystalline UPd7Au3 at its relaxed geometry.

Structure (POSCAR):
```
UPd7Au3
1.0
-0.324 4.021 3.208
-5.835 -3.868 -0.693
2.877 -5.842 2.661
U Pd Au
1 7 3
Cartesian
-1.641 -2.845 2.588
-0.747 -0.651 1.558
1.127 -2.396 2.560
0.019 -4.296 4.320
-3.301 -1.393 0.856
-1.479 -4.855 0.984
-4.408 -3.293 2.615
-2.534 -5.038 3.617
-3.944 -4.297 0.035
-0.162 2.011 1.604
0.986 -5.414 1.933
```

formation energy from the elements	-0.6	eV/f.u.